# 1
NbAlPd after structural relaxation, computed with GGA-PBE.

Cell: 6.793 3.666 7.771 Å, 90.00 90.00 90.00°
Space group Pnma (No. 62)
One atom of each set of equivalent atoms:
Nb (0.026, 0.250, 0.149) (multiplicity 4)
Al (0.220, 0.750, 0.364) (multiplicity 4)
Pd (0.147, 0.250, 0.566) (multiplicity 4)

calculated total energy = -6.827 eV per atom
M_tot = 0.01 Bohr magnetons per cell

=====

# 2
YAl7Au3 after structural relaxation, computed with GGA-PBE.

Cell: 8.1046 8.1046 21.1108 Å, 90.00 90.00 120.00°
Space group R-3c (No. 167, hexagonal axes)
One atom of each set of equivalent atoms:
Y (0.0000, 0.0000, 0.0000) (multiplicity 6)
Al (0.0000, 0.0000, 0.2500) (multiplicity 6)
Al (0.0105, 0.2063, 0.1367) (multiplicity 36)
Au (0.0000, 0.3235, 0.2500) (multiplicity 18)

calculated total energy = -4.381 eV per atom
M_tot = 0.02 Bohr magnetons per cell

=====

# 3
TmTc4Ge2 after structural relaxation, computed with GGA-PBE.

Cell: 4.118 14.272 4.073 Å, 90.00 90.00 90.00°
Space group Cmmm (No. 65)
One atom of each set of equivalent atoms:
Tm (0.000, 0.000, 0.000) (multiplicity 2)
Tc (0.000, 0.191, 0.500) (multiplicity 4)
Tc (0.000, 0.303, 0.000) (multiplicity 4)
Ge (0.000, 0.414, 0.500) (multiplicity 4)

calculated total energy = -8.247 eV per atom
M_tot = 0.02 Bohr magnetons per cell

=====

# 4
YErNi4 after structural relaxation, computed with GGA-PBE.

Cell: 7.139 7.139 7.139 Å, 90.00 90.00 90.00°
Space group F-43m (No. 216)
One atom of each set of equivalent atoms:
Y (0.000, 0.000, 0.000) (multiplicity 4)
Er (0.250, 0.250, 0.250) (multiplicity 4)
Ni (0.125, 0.125, 0.625) (multiplicity 16)

offset from the most stable computed form = 0.0000 eV/atom
M_tot = 0.01 Bohr magnetons per cell

=====

# 5
Sr2ErAl7Ag2 after structural relaxation, computed with GGA-PBE.

Cell: 5.6736 5.6736 27.1691 Å, 90.00 90.00 120.00°
Space group R-3m (No. 166, hexagonal axes)
One atom of each set of equivalent atoms:
Sr (0.0000, 0.0000, 0.1425) (multiplicity 6)
Er (0.0000, 0.0000, 0.0000) (multiplicity 3)
Al (0.0000, 0.0000, 0.5000) (multiplicity 3)
Al (0.0054, 0.5027, 0.9202) (multiplicity 18)
Ag (0.0000, 0.0000, 0.3357) (multiplicity 6)

calculated total energy = -3.586 eV per atom
M_tot = 0.00 Bohr magnetons per cell

=====

# 6
Lu3GePt4 after structural relaxation, computed with GGA-PBE.

Cell: 5.549 4.251 6.767 Å, 90.00 90.78 90.00°
Space group Pm (No. 6)
One atom of each set of equivalent atoms:
Lu (0.000, 0.000, 0.000) (multiplicity 1)
Lu (0.233, 0.000, 0.495) (multiplicity 1)
Lu (0.725, 0.500, 0.361) (multiplicity 1)
Ge (0.501, 0.500, 0.837) (multiplicity 1)
Pt (0.053, 0.500, 0.725) (multiplicity 1)
Pt (0.207, 0.500, 0.215) (multiplicity 1)
Pt (0.517, 0.000, 0.098) (multiplicity 1)
Pt (0.706, 0.000, 0.655) (multiplicity 1)

calculated total energy = -6.393 eV per atom
M_tot = 0.03 Bohr magnetons per cell

=====

# 7
IrPbNO after structural relaxation, computed with GGA-PBE.

Cell: 3.826 3.826 9.048 Å, 90.00 90.00 90.00°
Space group P4/nmm (No. 129, origin choice 2)
One atom of each set of equivalent atoms:
Ir (0.250, 0.750, 0.000) (multiplicity 2)
Pb (0.250, 0.250, 0.360) (multiplicity 2)
N (0.250, 0.250, 0.900) (multiplicity 2)
O (0.250, 0.750, 0.500) (multiplicity 2)

offset from the most stable computed form = 0.0557 eV/atom
M_tot = 0.00 Bohr magnetons per cell

=====

# 8
ZrBr3 after structural relaxation, computed with GGA-PBE.

Cell: 6.250 12.009 6.872 Å, 90.00 90.00 90.00°
Space group Amm2 (No. 38)
One atom of each set of equivalent atoms:
Zr (0.248, 0.000, 0.000) (multiplicity 4)
Br (0.000, 0.000, 0.324) (multiplicity 2)
Br (0.000, 0.160, 0.836) (multiplicity 4)
Br (0.500, 0.000, 0.677) (multiplicity 2)
Br (0.500, 0.161, 0.159) (multiplicity 4)

calculated total energy = -4.751 eV per atom
M_tot = 0.03 Bohr magnetons per cell

=====

What did the sixth record say?
Lu3GePt4 after structural relaxation, computed with GGA-PBE.

Cell: 5.549 4.251 6.767 Å, 90.00 90.78 90.00°
Space group Pm (No. 6)
One atom of each set of equivalent atoms:
Lu (0.000, 0.000, 0.000) (multiplicity 1)
Lu (0.233, 0.000, 0.495) (multiplicity 1)
Lu (0.725, 0.500, 0.361) (multiplicity 1)
Ge (0.501, 0.500, 0.837) (multiplicity 1)
Pt (0.053, 0.500, 0.725) (multiplicity 1)
Pt (0.207, 0.500, 0.215) (multiplicity 1)
Pt (0.517, 0.000, 0.098) (multiplicity 1)
Pt (0.706, 0.000, 0.655) (multiplicity 1)

calculated total energy = -6.393 eV per atom
M_tot = 0.03 Bohr magnetons per cell